(1)
The following is a GGA-PBEsol calculation of a relaxed structure of TiGe3S, from Alexandria.

Cell lengths 4.8637, 4.8637, 4.8637 Å; angles 90.00, 90.00, 90.00 degrees
With the nearest neighbours (Å) after each atom.
Fractional coordinates of all 5 atoms:
1 Ge 0.5000 0.0000 0.0000  2 Ti 2.43
2 S 0.5000 0.5000 0.5000  12 Ge 3.44
3 Ge 0.0000 0.0000 0.5000  2 Ti 2.43
4 Ge 0.0000 0.5000 0.0000  2 Ti 2.43
5 Ti 0.0000 0.0000 0.0000  6 Ge 2.43

Calculated values
Space-group type ... Pm-3m
N(E_F) ... 0.844 states/eV/atom
Formation energy from raw total energies ... 2.98 eV/f.u.

***

(2)
The following is a GGA-PBEsol calculation of a relaxed structure of CdReBr2, from Alexandria.

Cell lengths 3.1850, 4.4321, 7.2055 Å; angles 107.85, 90.00, 90.00 degrees
With the nearest neighbours (Å) after each atom.
Fractional coordinates of all 4 atoms:
1 Br 0.0000 0.1575 0.9411  2 Re 2.46
2 Cd 0.0000 0.4799 0.5848  4 Re 2.79
3 Br 0.5000 0.8410 0.3059  1 Re 2.49
4 Re 0.5000 0.0215 0.6683  3 Br 2.46-2.49

Calculated values
Space-group type ... Pm
N(E_F) ... 0.772 states/eV/atom
Formation energy from raw total energies ... 1.11 eV/f.u.

***

(3)
The following is a GGA-PBEsol calculation of a relaxed structure of YAl2Cu, from Alexandria.

Cell lengths 4.1611, 4.1611, 5.6202 Å; angles 68.27, 68.27, 60.00 degrees
With the nearest neighbours (Å) after each atom.
Fractional coordinates of all 4 atoms:
1 Al 0.9637 0.9637 0.1088  3 Cu 2.65, 3 Al 2.67
2 Al 0.2201 0.2201 0.3398  3 Cu 2.40, 3 Al 2.67
3 Cu 0.5571 0.5571 0.3286  6 Al 2.40-2.65
4 Y 0.7561 0.7561 0.7316  4 Cu 3.03-3.16, 7 Al 3.07-3.16

Calculated values
Space-group type ... R3m
N(E_F) ... 0.639 states/eV/atom

***

(4)
The following is a GGA-PBEsol calculation of a relaxed structure of Li2SiSe, from Alexandria.

Cell lengths 3.3229, 3.9848, 5.7404 Å; angles 110.31, 106.82, 90.00 degrees
With the nearest neighbours (Å) after each atom.
Fractional coordinates of all 4 atoms:
1 Se 0.4929 0.4929 0.9857  2 Si 2.57, 6 Li 2.59-2.82
2 Li 0.2154 0.7154 0.4308  4 Si 2.74, 2 Se 2.82, 2 Li 3.05
3 Si 0.8012 0.3012 0.6024  2 Se 2.57, 6 Li 2.74-2.78
4 Li 0.9905 0.9905 0.9810  4 Se 2.59, 2 Si 2.78

Calculated values
Space-group type ... Imm2
N(E_F) ... 0.330 states/eV/atom
Formation energy from raw total energies ... -1.50 eV/f.u.

***

(5)
The following is a GGA-PBEsol calculation of a relaxed structure of KAgTe2, from Alexandria.

Cell lengths 3.1937, 3.1937, 10.9964 Å; angles 90.00, 90.00, 90.00 degrees
With the nearest neighbours (Å) after each atom.
Fractional coordinates of all 4 atoms:
1 K 0.5000 0.5000 0.7388  4 K 3.19, 4 Te 3.47
2 Te 0.5000 0.5000 0.2981  4 Ag 3.05, 4 Te 3.19
3 Ag 0.0000 0.0000 0.4846  4 Te 3.05, 4 Ag 3.19
4 Te 0.0000 0.0000 0.9785  4 Te 3.19, 4 K 3.47

Calculated values
Space-group type ... P4mm
N(E_F) ... 0.599 states/eV/atom
Formation energy from raw total energies ... 0.12 eV/f.u.

***

(6)
The following is a GGA-PBEsol calculation of a relaxed structure of Ca2WCl, from Alexandria.

Cell lengths 4.0934, 4.0934, 6.0697 Å; angles 90.00, 90.00, 90.00 degrees
With the nearest neighbours (Å) after each atom.
Fractional coordinates of all 4 atoms:
1 Cl 0.0000 0.0000 0.3891  5 Ca 2.81-2.91
2 Ca 0.0000 0.0000 0.9254  1 Cl 2.81, 4 W 2.94
3 Ca 0.5000 0.5000 0.3421  4 Cl 2.91, 2 W 3.03-3.04
4 W 0.5000 0.5000 0.8434  6 Ca 2.94-3.04

Calculated values
Space-group type ... P4mm
N(E_F) ... 0.626 states/eV/atom
Formation energy from raw total energies ... 1.81 eV/f.u.

***

(7)
The following is a GGA-PBEsol calculation of a relaxed structure of Sb2TeRuI, from Alexandria.

Cell lengths 5.5822, 5.6339, 5.6339 Å; angles 90.00, 90.00, 90.00 degrees
With the nearest neighbours (Å) after each atom.
Fractional coordinates of all 5 atoms:
1 I 0.0000 0.0000 0.0000  2 Te 2.79, 4 Sb 2.82
2 Ru 0.5000 0.5000 0.5000  8 Sb 3.97, 4 Te 3.98
3 Sb 0.0000 0.5000 0.0000  2 I 2.82
4 Sb 0.0000 0.0000 0.5000  2 I 2.82
5 Te 0.5000 0.0000 0.0000  2 I 2.79

Calculated values
Space-group type ... P4/mmm
N(E_F) ... 1.596 states/eV/atom
Formation energy from raw total energies ... 9.86 eV/f.u.

***

(8)
The following is a GGA-PBEsol calculation of a relaxed structure of SiRhW2, from Alexandria.

Cell lengths 2.7257, 4.0769, 5.2626 Å; angles 90.00, 102.29, 90.00 degrees
With the nearest neighbours (Å) after each atom.
Fractional coordinates of all 4 atoms:
1 Rh 0.3290 0.0000 0.5070  2 Si 2.40
2 W 0.7288 0.5000 0.2636  3 Si 2.64-2.86, 4 W 2.73-2.74, 4 Rh 2.75
3 Si 0.4291 0.5000 0.7516  2 Rh 2.40, 1 W 2.64
4 W 0.0131 0.0000 0.9779  4 Si 2.70-2.73, 6 W 2.73-3.00, 3 Rh 2.73-2.79

Calculated values
Space-group type ... Pm
N(E_F) ... 0.656 states/eV/atom
Formation energy from raw total energies ... -0.82 eV/f.u.

***

Number 1: raw total energy -4.909 eV per atom. Number 2: raw total energy -4.289 eV per atom. Number 3: raw total energy -5.182 eV per atom. Number 4: raw total energy -3.758 eV per atom. Number 5: raw total energy -2.845 eV per atom. Number 6: raw total energy -4.568 eV per atom. Number 7: raw total energy -2.944 eV per atom. Number 8: raw total energy -10.579 eV per atom.